Crystalline Pr6GeAs3S2 at its relaxed geometry, computed with PBE-GGA.

The structure in CIF format:
```
data_Pr6GeAs3S2
_space_group_name_H-M_alt 'P 1'
_space_group_IT_number 1
_cell_length_a 4.256
_cell_length_b 8.509
_cell_length_c 9.508
_cell_angle_alpha 102.80
_cell_angle_beta 102.93
_cell_angle_gamma 90.00
loop_
_space_group_symop_operation_xyz
'x,y,z'
loop_
_atom_site_label
_atom_site_type_symbol
_atom_site_fract_x
_atom_site_fract_y
_atom_site_fract_z
As1 As 0.167 0.831 0.335
As2 As 0.500 0.500 0.000
Ge1 Ge 0.500 0.000 0.000
Pr1 Pr 0.666 0.083 0.333
S1 S 0.831 0.663 0.663
Pr2 Pr 0.334 0.416 0.667
Pr3 Pr 0.334 0.917 0.667
Pr4 Pr 0.999 0.750 0.997
Pr5 Pr 0.001 0.250 0.003
As3 As 0.833 0.169 0.665
Pr6 Pr 0.666 0.584 0.333
S2 S 0.169 0.337 0.337
```

Energy relative to the elements, uncorrected   -1.588 eV per atom
Raw total energy   -6.21 eV per atom
Crystal system   monoclinic
Space group   C2/m (12)

***

Crystalline NbCrTc at its relaxed geometry, computed with PBE-GGA.

The structure in CIF format:
```
data_NbCrTc
_space_group_name_H-M_alt 'P 1'
_space_group_IT_number 1
_cell_length_a 5.182
_cell_length_b 5.004
_cell_length_c 8.675
_cell_angle_alpha 90.00
_cell_angle_beta 125.53
_cell_angle_gamma 90.00
loop_
_space_group_symop_operation_xyz
'x,y,z'
loop_
_atom_site_label
_atom_site_type_symbol
_atom_site_fract_x
_atom_site_fract_y
_atom_site_fract_z
Cr1 Cr 0.245 0.747 0.603
Nb1 Nb 0.743 0.000 0.853
Tc1 Tc 0.243 0.500 0.354
Tc2 Tc 0.583 0.000 0.461
Nb2 Nb 0.743 0.500 0.353
Nb3 Nb 0.892 0.500 0.738
Tc3 Tc 0.583 0.500 0.961
Nb4 Nb 0.892 0.000 0.238
Cr2 Cr 0.245 0.247 0.103
Cr3 Cr 0.245 0.253 0.603
Cr4 Cr 0.245 0.753 0.103
Tc4 Tc 0.243 0.000 0.854
```

Raw total energy   -9.88 eV per atom
Crystal system   monoclinic
Space group   Cm (8)
Formation energy from the elements   0.141 eV/atom

***

Crystalline SrSi2As at its relaxed geometry, computed with PBE-GGA.

The structure in CIF format:
```
data_SrSi2As
_space_group_name_H-M_alt 'P 1'
_space_group_IT_number 1
_cell_length_a 4.877
_cell_length_b 4.922
_cell_length_c 4.098
_cell_angle_alpha 86.38
_cell_angle_beta 90.00
_cell_angle_gamma 90.00
loop_
_space_group_symop_operation_xyz
'x,y,z'
loop_
_atom_site_label
_atom_site_type_symbol
_atom_site_fract_x
_atom_site_fract_y
_atom_site_fract_z
As1 As 0.500 0.750 0.750
Si1 Si 0.000 0.620 0.520
Si2 Si 0.000 0.880 0.980
Sr1 Sr 0.500 0.250 0.250
```

Energy relative to the elements, uncorrected   -0.188 eV per atom
Raw total energy   -4.48 eV per atom
Crystal system   monoclinic
Space group   P2/m (10)

***

Crystalline Nd2InGe at its relaxed geometry, computed with PBE-GGA.

The structure in CIF format:
```
data_Nd2InGe
_space_group_name_H-M_alt 'P 1'
_space_group_IT_number 1
_cell_length_a 4.260
_cell_length_b 4.596
_cell_length_c 6.209
_cell_angle_alpha 111.72
_cell_angle_beta 90.00
_cell_angle_gamma 90.00
loop_
_space_group_symop_operation_xyz
'x,y,z'
loop_
_atom_site_label
_atom_site_type_symbol
_atom_site_fract_x
_atom_site_fract_y
_atom_site_fract_z
Nd1 Nd 0.500 0.262 0.524
Nd2 Nd 0.000 0.981 0.962
In1 In 0.500 0.548 0.095
Ge1 Ge 0.000 0.709 0.417
```

Raw total energy   -4.87 eV per atom
Crystal system   orthorhombic
Space group   Amm2 (38)
Formation energy from the elements   -0.651 eV/atom

***

Crystalline RbZn2SnCl6 at its relaxed geometry, computed with PBE-GGA.

The structure in CIF format:
```
data_RbZn2SnCl6
_space_group_name_H-M_alt 'P 1'
_space_group_IT_number 1
_cell_length_a 10.521
_cell_length_b 10.521
_cell_length_c 6.108
_cell_angle_alpha 88.90
_cell_angle_beta 88.90
_cell_angle_gamma 92.11
loop_
_space_group_symop_operation_xyz
'x,y,z'
loop_
_atom_site_label
_atom_site_type_symbol
_atom_site_fract_x
_atom_site_fract_y
_atom_site_fract_z
Cl1 Cl 0.858 0.728 0.279
Cl2 Cl 0.142 0.272 0.721
Zn1 Zn 0.697 0.856 0.163
Cl3 Cl 0.737 0.512 0.749
Cl4 Cl 0.058 0.694 0.752
Zn2 Zn 0.303 0.144 0.837
Rb1 Rb 0.811 0.189 0.750
Cl5 Cl 0.263 0.488 0.251
Sn1 Sn 0.479 0.521 0.750
Cl6 Cl 0.942 0.306 0.248
Cl7 Cl 0.306 0.942 0.748
Zn3 Zn 0.144 0.303 0.337
Cl8 Cl 0.728 0.858 0.779
Sn2 Sn 0.521 0.479 0.250
Cl9 Cl 0.694 0.058 0.252
Cl10 Cl 0.512 0.737 0.249
Rb2 Rb 0.189 0.811 0.250
Cl11 Cl 0.272 0.142 0.221
Cl12 Cl 0.488 0.263 0.751
Zn4 Zn 0.856 0.697 0.663
```

Energy relative to the elements, uncorrected   -1.186 eV per atom
Raw total energy   -3.05 eV per atom
Crystal system   monoclinic
Space group   C2/c (15)

***

Crystalline Mg2FeW at its relaxed geometry, computed with PBE-GGA.

The structure in CIF format:
```
data_Mg2FeW
_space_group_name_H-M_alt 'P 1'
_space_group_IT_number 1
_cell_length_a 5.244
_cell_length_b 5.244
_cell_length_c 2.668
_cell_angle_alpha 90.00
_cell_angle_beta 90.00
_cell_angle_gamma 117.62
loop_
_space_group_symop_operation_xyz
'x,y,z'
loop_
_atom_site_label
_atom_site_type_symbol
_atom_site_fract_x
_atom_site_fract_y
_atom_site_fract_z
Fe1 Fe 0.000 0.500 0.500
W1 W 0.500 0.000 0.500
Mg1 Mg 0.000 0.000 0.000
Mg2 Mg 0.500 0.500 0.000
```

Raw total energy   -5.70 eV per atom
Crystal system   orthorhombic
Space group   Cmmm (65)
Formation energy from the elements   0.448 eV/atom

***

Crystalline La3SnC at its relaxed geometry, computed with PBE-GGA.

The structure in CIF format:
```
data_La3SnC
_space_group_name_H-M_alt 'P 1'
_space_group_IT_number 1
_cell_length_a 7.255
_cell_length_b 6.213
_cell_length_c 6.820
_cell_angle_alpha 78.37
_cell_angle_beta 77.72
_cell_angle_gamma 94.61
loop_
_space_group_symop_operation_xyz
'x,y,z'
loop_
_atom_site_label
_atom_site_type_symbol
_atom_site_fract_x
_atom_site_fract_y
_atom_site_fract_z
La1 La 0.498 0.597 0.899
Sn1 Sn 0.152 0.469 0.317
La2 La 0.417 0.988 0.292
Sn2 Sn 0.322 0.108 0.769
C1 C 0.809 0.741 0.989
C2 C 0.665 0.836 0.097
La3 La 0.057 0.589 0.794
La4 La 0.976 0.980 0.187
La5 La 0.654 0.481 0.371
La6 La 0.820 0.096 0.715
```

Raw total energy   -6.02 eV per atom
Crystal system   triclinic
Space group   P-1 (2)
Formation energy from the elements   -0.416 eV/atom

***

Crystalline Cd2Ga2Bi at its relaxed geometry, computed with PBE-GGA.

The structure in CIF format:
```
data_Cd2Ga2Bi
_space_group_name_H-M_alt 'P 1'
_space_group_IT_number 1
_cell_length_a 8.377
_cell_length_b 8.377
_cell_length_c 3.388
_cell_angle_alpha 90.00
_cell_angle_beta 90.00
_cell_angle_gamma 90.00
loop_
_space_group_symop_operation_xyz
'x,y,z'
loop_
_atom_site_label
_atom_site_type_symbol
_atom_site_fract_x
_atom_site_fract_y
_atom_site_fract_z
Ga1 Ga 0.881 0.619 0.000
Cd1 Cd 0.682 0.818 0.500
Cd2 Cd 0.818 0.318 0.500
Bi1 Bi 0.000 0.000 0.000
Cd3 Cd 0.182 0.682 0.500
Ga2 Ga 0.381 0.881 0.000
Ga3 Ga 0.119 0.381 0.000
Cd4 Cd 0.318 0.182 0.500
Bi2 Bi 0.500 0.500 0.000
Ga4 Ga 0.619 0.119 0.000
```

Raw total energy   -2.25 eV per atom
Crystal system   tetragonal
Space group   P4/mbm (127)
Formation energy from the elements   0.102 eV/atom

***

Crystalline SrCrCd3 at its relaxed geometry, computed with PBE-GGA.

The structure in CIF format:
```
data_SrCrCd3
_space_group_name_H-M_alt 'P 1'
_space_group_IT_number 1
_cell_length_a 6.193
_cell_length_b 6.193
_cell_length_c 6.193
_cell_angle_alpha 90.00
_cell_angle_beta 90.00
_cell_angle_gamma 90.00
loop_
_space_group_symop_operation_xyz
'x,y,z'
loop_
_atom_site_label
_atom_site_type_symbol
_atom_site_fract_x
_atom_site_fract_y
_atom_site_fract_z
Cd1 Cd 0.000 0.500 0.000
Sr1 Sr 0.000 0.000 0.000
Cr1 Cr 0.500 0.500 0.500
Cd2 Cd 0.500 0.000 0.000
Cd3 Cd 0.000 0.000 0.500
```

Raw total energy   -1.73 eV per atom
Crystal system   cubic
Space group   Pm-3m (221)
Formation energy from the elements   1.076 eV/atom

***

Crystalline Ba4CeTe5 at its relaxed geometry, computed with PBE-GGA.

The structure in CIF format:
```
data_Ba4CeTe5
_space_group_name_H-M_alt 'P 1'
_space_group_IT_number 1
_cell_length_a 4.911
_cell_length_b 4.911
_cell_length_c 17.718
_cell_angle_alpha 97.97
_cell_angle_beta 97.97
_cell_angle_gamma 90.00
loop_
_space_group_symop_operation_xyz
'x,y,z'
loop_
_atom_site_label
_atom_site_type_symbol
_atom_site_fract_x
_atom_site_fract_y
_atom_site_fract_z
Te1 Te 0.301 0.301 0.601
Ba1 Ba 0.801 0.801 0.603
Ce1 Ce 0.000 0.000 0.000
Ba2 Ba 0.402 0.402 0.803
Te2 Te 0.699 0.699 0.399
Ba3 Ba 0.598 0.598 0.197
Te3 Te 0.500 0.500 0.000
Te4 Te 0.906 0.906 0.812
Ba4 Ba 0.199 0.199 0.397
Te5 Te 0.094 0.094 0.188
```

Energy relative to the elements, uncorrected   -1.647 eV per atom
Raw total energy   -4.58 eV per atom
Crystal system   tetragonal
Space group   I4/mmm (139)

***

Crystalline BaMgRh2 at its relaxed geometry, computed with PBE-GGA.

The structure in CIF format:
```
data_BaMgRh2
_space_group_name_H-M_alt 'P 1'
_space_group_IT_number 1
_cell_length_a 3.191
_cell_length_b 3.672
_cell_length_c 7.786
_cell_angle_alpha 90.00
_cell_angle_beta 90.00
_cell_angle_gamma 90.00
loop_
_space_group_symop_operation_xyz
'x,y,z'
loop_
_atom_site_label
_atom_site_type_symbol
_atom_site_fract_x
_atom_site_fract_y
_atom_site_fract_z
Rh1 Rh 0.000 0.000 0.033
Mg1 Mg 0.500 0.500 0.836
Rh2 Rh 0.500 0.500 0.170
Ba1 Ba 0.000 0.000 0.460
```

Raw total energy   -4.48 eV per atom
Crystal system   orthorhombic
Space group   Pmm2 (25)
Formation energy from the elements   0.078 eV/atom

***

Crystalline NdNi2Sb2 at its relaxed geometry, computed with PBE-GGA.

The structure in CIF format:
```
data_NdNi2Sb2
_space_group_name_H-M_alt 'P 1'
_space_group_IT_number 1
_cell_length_a 4.480
_cell_length_b 4.480
_cell_length_c 10.029
_cell_angle_alpha 90.00
_cell_angle_beta 90.00
_cell_angle_gamma 90.00
loop_
_space_group_symop_operation_xyz
'x,y,z'
loop_
_atom_site_label
_atom_site_type_symbol
_atom_site_fract_x
_atom_site_fract_y
_atom_site_fract_z
Nd1 Nd 0.500 0.000 0.239
Ni1 Ni 0.500 0.500 0.000
Nd2 Nd 0.000 0.500 0.761
Sb1 Sb 0.500 0.000 0.874
Sb2 Sb 0.000 0.000 0.500
Sb3 Sb 0.000 0.500 0.126
Ni2 Ni 0.000 0.000 0.000
Sb4 Sb 0.500 0.500 0.500
Ni3 Ni 0.000 0.500 0.376
Ni4 Ni 0.500 0.000 0.624
```

Energy relative to the elements, uncorrected   -0.640 eV per atom
Raw total energy   -5.56 eV per atom
Crystal system   tetragonal
Space group   P4/nmm (129)

***

Q: Among the records above, which one has the highest raw total energy?
A: SrCrCd3